(1)
# MgCuAs2 | the Alexandria database | PBE-GGA | relaxed
# Electronic total energy   -30.63 eV per cell
# Space group   I-42d, No. 122
# Density   4.82 g/cm3
# Formation enthalpy at 0 K   -0.08 eV/atom
data_MgCuAs2
_chemical_formula_sum 'Mg2 Cu2 As4'
_cell_length_a 8.408
_cell_length_b 8.408
_cell_length_c 8.408
_cell_angle_alpha 148.30
_cell_angle_beta 148.30
_cell_angle_gamma 45.44
_space_group_name_H-M_alt 'P 1'
_space_group_IT_number 1
_space_group_name_Hall 'P 1'
loop_
_atom_site_label
_atom_site_type_symbol
_atom_site_fract_x
_atom_site_fract_y
_atom_site_fract_z
Mg1 Mg 0.000 0.000 0.000
Mg2 Mg 0.750 0.250 0.500
Cu1 Cu 0.250 0.750 0.500
Cu2 Cu 0.500 0.500 0.000
As1 As 0.184 0.625 0.059
As2 As 0.375 0.434 0.559
As3 As 0.566 0.125 0.941
As4 As 0.875 0.816 0.441

(2)
# MgCuAs2 | the Alexandria database | PBE-GGA | relaxed
# Electronic total energy   -14.24 eV per cell
# Space group   F-43m, No. 216
# Density   5.55 g/cm3
# Formation enthalpy at 0 K   0.19 eV/atom
data_MgCuAs2
_chemical_formula_sum 'Mg1 Cu1 As2'
_cell_length_a 4.650
_cell_length_b 4.650
_cell_length_c 4.650
_cell_angle_alpha 60.00
_cell_angle_beta 60.00
_cell_angle_gamma 60.00
_space_group_name_H-M_alt 'P 1'
_space_group_IT_number 1
_space_group_name_Hall 'P 1'
loop_
_atom_site_label
_atom_site_type_symbol
_atom_site_fract_x
_atom_site_fract_y
_atom_site_fract_z
Mg1 Mg 0.000 0.000 0.000
Cu1 Cu 0.750 0.750 0.750
As1 As 0.250 0.250 0.250
As2 As 0.500 0.500 0.500